1.
! BiTeN2Cl (PBE, optimized geometry); values from VASP
&SYSTEM
  ibrav = 0, nat = 5, ntyp = 4
/
ATOMIC_SPECIES
Bi 208.98 Bi.upf
Te 127.60 Te.upf
N 14.01 N.upf
Cl 35.45 Cl.upf
CELL_PARAMETERS angstrom
4.3707 0.0000 0.0000
0.0000 4.3707 0.0000
0.0000 0.0000 6.6203
ATOMIC_POSITIONS crystal
Bi 0.0000 0.0000 0.0000
Te 0.0000 0.0000 0.5000
N 0.0000 0.5000 0.0000
N 0.5000 0.0000 0.0000
Cl 0.5000 0.5000 0.5000
! Relative energy among the computed polymorphs ... 0 meV/atom
! Space-group type ... No. 123



2.
! BiTeN2Cl (PBE, optimized geometry); values from VASP
&SYSTEM
  ibrav = 0, nat = 5, ntyp = 4
/
ATOMIC_SPECIES
Bi 208.98 Bi.upf
Te 127.60 Te.upf
N 14.01 N.upf
Cl 35.45 Cl.upf
CELL_PARAMETERS angstrom
4.3453 0.0000 0.0000
0.0000 4.3453 0.0000
0.0000 0.0000 5.2535
ATOMIC_POSITIONS crystal
Bi 0.0000 0.0000 0.0000
Te 0.5000 0.5000 0.0000
N 0.0000 0.5000 0.5000
N 0.5000 0.0000 0.5000
Cl 0.5000 0.5000 0.5000
! Relative energy among the computed polymorphs ... 485 meV/atom
! Space-group type ... No. 123



3.
! NaBiCl6 (PBE, optimized geometry); values from VASP
&SYSTEM
  ibrav = 0, nat = 8, ntyp = 3
/
ATOMIC_SPECIES
Na 22.99 Na.upf
Bi 208.98 Bi.upf
Cl 35.45 Cl.upf
CELL_PARAMETERS angstrom
3.5167 -6.0436 0.0000
3.5167 6.0436 0.0000
-2.2585 0.0000 6.3808
ATOMIC_POSITIONS crystal
Na 0.0000 0.0000 0.0000
Bi 0.5000 0.5000 0.5000
Cl 0.1362 0.4309 0.2637
Cl 0.2695 0.2695 0.7138
Cl 0.4309 0.1362 0.2637
Cl 0.5691 0.8638 0.7363
Cl 0.7305 0.7305 0.2862
Cl 0.8638 0.5691 0.7363
! Space-group type ... No. 12



4.
! NaBiCl4 (PBE, optimized geometry); values from VASP
&SYSTEM
  ibrav = 0, nat = 12, ntyp = 3
/
ATOMIC_SPECIES
Na 22.99 Na.upf
Bi 208.98 Bi.upf
Cl 35.45 Cl.upf
CELL_PARAMETERS angstrom
4.1047 -8.1003 0.0000
4.1047 8.1003 0.0000
-3.8771 0.0000 6.2408
ATOMIC_POSITIONS crystal
Na 0.0644 0.9356 0.7500
Na 0.9356 0.0644 0.2500
Bi 0.1862 0.8138 0.2500
Bi 0.8138 0.1862 0.7500
Cl 0.0313 0.4073 0.1905
Cl 0.1310 0.2744 0.7104
Cl 0.2744 0.1310 0.2104
Cl 0.4073 0.0313 0.6905
Cl 0.5927 0.9687 0.3095
Cl 0.7256 0.8690 0.7896
Cl 0.8690 0.7256 0.2896
Cl 0.9687 0.5927 0.8095
! Relative energy among the computed polymorphs ... 0 meV/atom
! Space-group type ... No. 15



5.
! Na3Bi2Cl8 (PBE, optimized geometry); values from VASP
&SYSTEM
  ibrav = 0, nat = 13, ntyp = 3
/
ATOMIC_SPECIES
Na 22.99 Na.upf
Bi 208.98 Bi.upf
Cl 35.45 Cl.upf
CELL_PARAMETERS angstrom
7.4221 -4.0667 0.0000
7.4221 4.0667 0.0000
-2.9368 0.0000 6.3167
ATOMIC_POSITIONS crystal
Na 0.0000 0.0000 0.0000
Na 0.2584 0.7416 0.5000
Na 0.7416 0.2584 0.5000
Bi 0.2884 0.2884 0.8310
Bi 0.7116 0.7116 0.1690
Cl 0.1095 0.6390 0.0571
Cl 0.1151 0.1151 0.4465
Cl 0.3610 0.8905 0.9429
Cl 0.3747 0.3747 0.5504
Cl 0.6253 0.6253 0.4496
Cl 0.6390 0.1095 0.0571
Cl 0.8849 0.8849 0.5535
Cl 0.8905 0.3610 0.9429
! Space-group type ... No. 12



6.
! NaBiCl4 (PBE, optimized geometry); values from VASP
&SYSTEM
  ibrav = 0, nat = 6, ntyp = 3
/
ATOMIC_SPECIES
Na 22.99 Na.upf
Bi 208.98 Bi.upf
Cl 35.45 Cl.upf
CELL_PARAMETERS angstrom
6.8162 0.0000 0.0000
0.0000 4.1359 0.0000
-2.4665 0.0000 6.8980
ATOMIC_POSITIONS crystal
Na 0.0000 0.0000 0.0000
Bi 0.0000 0.5000 0.5000
Cl 0.2111 0.5000 0.2488
Cl 0.2395 0.0000 0.7204
Cl 0.7605 0.0000 0.2796
Cl 0.7889 0.5000 0.7512
! Relative energy among the computed polymorphs ... 19 meV/atom
! Space-group type ... No. 10



7.
! NaNbBi2Cl (PBE, optimized geometry); values from VASP
&SYSTEM
  ibrav = 0, nat = 5, ntyp = 4
/
ATOMIC_SPECIES
Na 22.99 Na.upf
Nb 92.91 Nb.upf
Bi 208.98 Bi.upf
Cl 35.45 Cl.upf
CELL_PARAMETERS angstrom
5.3426 0.0000 0.0000
0.0000 5.3426 0.0000
0.0000 0.0000 5.4751
ATOMIC_POSITIONS crystal
Na 0.0000 0.0000 0.0000
Nb 0.0000 0.0000 0.5000
Bi 0.0000 0.5000 0.0000
Bi 0.5000 0.0000 0.0000
Cl 0.5000 0.5000 0.5000
! Space-group type ... No. 123



8.
! Na3Bi2Cl2O4 (PBE, optimized geometry); values from VASP
&SYSTEM
  ibrav = 0, nat = 11, ntyp = 4
/
ATOMIC_SPECIES
Na 22.99 Na.upf
Bi 208.98 Bi.upf
Cl 35.45 Cl.upf
O 16.00 O.upf
CELL_PARAMETERS angstrom
-2.2057 2.2057 10.8092
2.2057 -2.2057 10.8092
2.2057 2.2057 -10.8092
ATOMIC_POSITIONS crystal
Na 0.0000 0.0000 0.0000
Na 0.1548 0.1548 0.0000
Na 0.8452 0.8452 0.0000
Bi 0.4206 0.4206 0.0000
Bi 0.5794 0.5794 0.0000
Cl 0.2989 0.2989 0.0000
Cl 0.7011 0.7011 0.0000
O 0.0799 0.5799 0.5000
O 0.4201 0.9201 0.5000
O 0.5799 0.0799 0.5000
O 0.9201 0.4201 0.5000
! Space-group type ... No. 139



9.
! NaBiP2Cl (PBE, optimized geometry); values from VASP
&SYSTEM
  ibrav = 0, nat = 5, ntyp = 4
/
ATOMIC_SPECIES
Na 22.99 Na.upf
Bi 208.98 Bi.upf
P 30.97 P.upf
Cl 35.45 Cl.upf
CELL_PARAMETERS angstrom
5.0484 0.0000 0.0000
0.0000 5.0484 0.0000
0.0000 0.0000 4.7740
ATOMIC_POSITIONS crystal
Na 0.0000 0.0000 0.0000
Bi 0.5000 0.5000 0.5000
P 0.0000 0.5000 0.0000
P 0.5000 0.0000 0.0000
Cl 0.0000 0.0000 0.5000
! Relative energy among the computed polymorphs ... 398 meV/atom
! Space-group type ... No. 123



10.
! NaBiP2Cl (PBE, optimized geometry); values from VASP
&SYSTEM
  ibrav = 0, nat = 5, ntyp = 4
/
ATOMIC_SPECIES
Na 22.99 Na.upf
Bi 208.98 Bi.upf
P 30.97 P.upf
Cl 35.45 Cl.upf
CELL_PARAMETERS angstrom
5.3310 0.0000 0.0000
0.0000 5.3310 0.0000
0.0000 0.0000 5.7086
ATOMIC_POSITIONS crystal
Na 0.0000 0.0000 0.0000
Bi 0.5000 0.5000 0.5000
P 0.0000 0.5000 0.5000
P 0.5000 0.0000 0.5000
Cl 0.5000 0.5000 0.0000
! Relative energy among the computed polymorphs ... 0 meV/atom
! Space-group type ... No. 123



11.
! NaBiPCl2 (PBE, optimized geometry); values from VASP
&SYSTEM
  ibrav = 0, nat = 5, ntyp = 4
/
ATOMIC_SPECIES
Na 22.99 Na.upf
Bi 208.98 Bi.upf
P 30.97 P.upf
Cl 35.45 Cl.upf
CELL_PARAMETERS angstrom
5.5830 0.0000 0.0000
0.0000 5.5830 0.0000
0.0000 0.0000 5.3707
ATOMIC_POSITIONS crystal
Na 0.0000 0.0000 0.0000
Bi 0.5000 0.5000 0.5000
P 0.5000 0.5000 0.0000
Cl 0.0000 0.5000 0.5000
Cl 0.5000 0.0000 0.5000
! Relative energy among the computed polymorphs ... 0 meV/atom
! Space-group type ... No. 123



12.
! NaBiPCl2 (PBE, optimized geometry); values from VASP
&SYSTEM
  ibrav = 0, nat = 5, ntyp = 4
/
ATOMIC_SPECIES
Na 22.99 Na.upf
Bi 208.98 Bi.upf
P 30.97 P.upf
Cl 35.45 Cl.upf
CELL_PARAMETERS angstrom
4.8054 0.0000 0.0000
0.0000 4.8054 0.0000
0.0000 0.0000 5.5941
ATOMIC_POSITIONS crystal
Na 0.0000 0.0000 0.0000
Bi 0.5000 0.5000 0.5000
P 0.0000 0.0000 0.5000
Cl 0.0000 0.5000 0.0000
Cl 0.5000 0.0000 0.0000
! Relative energy among the computed polymorphs ... 337 meV/atom
! Space-group type ... No. 123



13.
! NaBiPbCl6 (PBE, optimized geometry); values from VASP
&SYSTEM
  ibrav = 0, nat = 18, ntyp = 4
/
ATOMIC_SPECIES
Na 22.99 Na.upf
Bi 208.98 Bi.upf
Pb 207.20 Pb.upf
Cl 35.45 Cl.upf
CELL_PARAMETERS angstrom
7.2395 0.0000 0.0000
-3.6197 6.2696 0.0000
0.0000 0.0000 12.4426
ATOMIC_POSITIONS crystal
Na 0.0000 0.0000 0.0000
Na 0.0000 0.0000 0.5000
Bi 0.3333 0.6667 0.2500
Bi 0.6667 0.3333 0.7500
Pb 0.3333 0.6667 0.7500
Pb 0.6667 0.3333 0.2500
Cl 0.0193 0.3540 0.1257
Cl 0.0193 0.6652 0.3743
Cl 0.3348 0.3540 0.3743
Cl 0.3348 0.9807 0.1257
Cl 0.3540 0.0193 0.6257
Cl 0.3540 0.3348 0.8743
Cl 0.6460 0.6652 0.1257
Cl 0.6460 0.9807 0.3743
Cl 0.6652 0.0193 0.8743
Cl 0.6652 0.6460 0.6257
Cl 0.9807 0.3348 0.6257
Cl 0.9807 0.6460 0.8743
! Space-group type ... No. 163



14.
! NaBiPb2Cl8 (PBE, optimized geometry); values from VASP
&SYSTEM
  ibrav = 0, nat = 12, ntyp = 4
/
ATOMIC_SPECIES
Na 22.99 Na.upf
Bi 208.98 Bi.upf
Pb 207.20 Pb.upf
Cl 35.45 Cl.upf
CELL_PARAMETERS angstrom
6.5531 0.0000 0.0000
0.0000 8.6548 0.0000
-0.0510 0.0000 6.7896
ATOMIC_POSITIONS crystal
Na 0.0000 0.0000 0.0000
Bi 0.0000 0.5000 0.0000
Pb 0.5000 0.2425 0.5000
Pb 0.5000 0.7575 0.5000
Cl 0.2230 0.2617 0.1583
Cl 0.2230 0.7383 0.1583
Cl 0.2481 0.5000 0.6764
Cl 0.2739 0.0000 0.6683
Cl 0.7261 0.0000 0.3317
Cl 0.7519 0.5000 0.3236
Cl 0.7770 0.2617 0.8417
Cl 0.7770 0.7383 0.8417
! Space-group type ... No. 10



15.
! NaBi2PtCl (PBE, optimized geometry); values from VASP
&SYSTEM
  ibrav = 0, nat = 5, ntyp = 4
/
ATOMIC_SPECIES
Na 22.99 Na.upf
Bi 208.98 Bi.upf
Pt 195.08 Pt.upf
Cl 35.45 Cl.upf
CELL_PARAMETERS angstrom
5.5272 0.0000 0.0000
0.0000 5.5272 0.0000
0.0000 0.0000 4.5784
ATOMIC_POSITIONS crystal
Na 0.0000 0.0000 0.0000
Bi 0.0000 0.5000 0.0000
Bi 0.5000 0.0000 0.0000
Pt 0.5000 0.5000 0.5000
Cl 0.0000 0.0000 0.5000
! Space-group type ... No. 123



16.
! Na2BiPtCl (PBE, optimized geometry); values from VASP
&SYSTEM
  ibrav = 0, nat = 5, ntyp = 4
/
ATOMIC_SPECIES
Na 22.99 Na.upf
Bi 208.98 Bi.upf
Pt 195.08 Pt.upf
Cl 35.45 Cl.upf
CELL_PARAMETERS angstrom
5.7095 0.0000 0.0000
0.0000 5.7095 0.0000
0.0000 0.0000 5.0079
ATOMIC_POSITIONS crystal
Na 0.0000 0.5000 0.0000
Na 0.5000 0.0000 0.0000
Bi 0.0000 0.0000 0.5000
Pt 0.0000 0.0000 0.0000
Cl 0.5000 0.5000 0.5000
! Space-group type ... No. 123



17.
! RbNaBiCl6 (PBE, optimized geometry); values from VASP
&SYSTEM
  ibrav = 0, nat = 9, ntyp = 4
/
ATOMIC_SPECIES
Rb 85.47 Rb.upf
Na 22.99 Na.upf
Bi 208.98 Bi.upf
Cl 35.45 Cl.upf
CELL_PARAMETERS angstrom
7.1874 0.0000 0.0000
-3.5937 6.2245 0.0000
0.0000 0.0000 7.1819
ATOMIC_POSITIONS crystal
Rb 0.0000 0.0000 0.0000
Na 0.6667 0.3333 0.5000
Bi 0.3333 0.6667 0.5000
Cl 0.0204 0.3810 0.7125
Cl 0.0204 0.6394 0.2875
Cl 0.3606 0.3810 0.2875
Cl 0.3606 0.9796 0.7125
Cl 0.6190 0.6394 0.7125
Cl 0.6190 0.9796 0.2875
! Space-group type ... No. 149



18.
! RbNaBi2Cl8 (PBE, optimized geometry); values from VASP
&SYSTEM
  ibrav = 0, nat = 12, ntyp = 4
/
ATOMIC_SPECIES
Rb 85.47 Rb.upf
Na 22.99 Na.upf
Bi 208.98 Bi.upf
Cl 35.45 Cl.upf
CELL_PARAMETERS angstrom
6.8216 0.0000 0.0000
0.6512 7.0117 0.0000
0.0015 0.0039 8.5823
ATOMIC_POSITIONS crystal
Rb 0.0000 0.0000 0.0000
Na 0.0000 0.0000 0.5000
Bi 0.4998 0.4998 0.2575
Bi 0.5002 0.5002 0.7425
Cl 0.2538 0.8176 0.2774
Cl 0.2539 0.8178 0.7226
Cl 0.2873 0.3544 0.4978
Cl 0.2945 0.3656 0.0025
Cl 0.7055 0.6344 0.9975
Cl 0.7127 0.6456 0.5022
Cl 0.7461 0.1822 0.2774
Cl 0.7462 0.1824 0.7226
! Space-group type ... No. 2



19.
! NaBiSCl2 (PBE, optimized geometry); values from VASP
&SYSTEM
  ibrav = 0, nat = 5, ntyp = 4
/
ATOMIC_SPECIES
Na 22.99 Na.upf
Bi 208.98 Bi.upf
S 32.06 S.upf
Cl 35.45 Cl.upf
CELL_PARAMETERS angstrom
5.5158 0.0000 0.0000
0.0000 5.5158 0.0000
0.0000 0.0000 5.3427
ATOMIC_POSITIONS crystal
Na 0.0000 0.0000 0.0000
Bi 0.5000 0.5000 0.5000
S 0.5000 0.5000 0.0000
Cl 0.0000 0.5000 0.5000
Cl 0.5000 0.0000 0.5000
! Relative energy among the computed polymorphs ... 0 meV/atom
! Space-group type ... No. 123



20.
! NaBiSCl2 (PBE, optimized geometry); values from VASP
&SYSTEM
  ibrav = 0, nat = 5, ntyp = 4
/
ATOMIC_SPECIES
Na 22.99 Na.upf
Bi 208.98 Bi.upf
S 32.06 S.upf
Cl 35.45 Cl.upf
CELL_PARAMETERS angstrom
4.7777 0.0000 0.0000
0.0000 4.7777 0.0000
0.0000 0.0000 5.3445
ATOMIC_POSITIONS crystal
Na 0.0000 0.0000 0.0000
Bi 0.5000 0.5000 0.5000
S 0.0000 0.0000 0.5000
Cl 0.0000 0.5000 0.0000
Cl 0.5000 0.0000 0.0000
! Relative energy among the computed polymorphs ... 496 meV/atom
! Space-group type ... No. 123



Energy relative to the elements, uncorrected for every record listed, in sequence, given in eV per atom: 1.506 1.992 -0.799 -1.273 -1.200 -1.253 1.159 -1.228 0.714 0.316 -0.342 -0.005 -1.225 -1.208 0.607 -0.420 -1.250 -1.272 -0.777 -0.281.